Material: Ce4PaRu
Method: DFT, GGA-PBE
State: relaxed

Summary:
As for the density of states at the Fermi level: 15.082 states/eV/f.u. The calculation puts the total moment at 0.0 μB/cell. The value obtained for the energy relative to the elements is 44 meV per atom. The total energy is -7.04 eV per atom.

Cell and atoms, written as CIF:
```
data_Ce4PaRu
_cell_length_a 9.031
_cell_length_b 13.019
_cell_length_c 6.072
_cell_angle_alpha 90.00
_cell_angle_beta 122.92
_cell_angle_gamma 90.00
_symmetry_space_group_name_H-M 'C 1 2/c 1'
_symmetry_Int_Tables_number 15
loop_
_symmetry_equiv_pos_as_xyz
'x,y,z'
'-x,-y,-z'
'-x,y,-z+1/2'
'x,-y,z+1/2'
'x+1/2,y+1/2,z'
'-x+1/2,-y+1/2,-z'
'-x+1/2,y+1/2,-z+1/2'
'x+1/2,-y+1/2,z+1/2'
loop_
_atom_site_label
_atom_site_fract_x
_atom_site_fract_y
_atom_site_fract_z
Ce1 0.109 0.170 0.089
Ce2 0.158 0.427 0.263
Pa1 0.000 0.346 0.750
Ru1 0.000 0.006 0.250
```